(1)
This record from the Alexandria database describes a relaxed structure of K3Tb2NdS6. The functional is PBE-GGA.

abc: 7.1250 7.1250 7.7573
angles: 98.81 98.81 120.00
Closest atoms and distances in Å follow each position.
Positions (direct):
S 0.9319 0.5915 0.7960  2 Tb 2.79, 1 Nd 2.86
K 0.5000 0.5000 0.5000  6 S 3.19-3.25
Tb 0.3332 0.6668 0.0000  6 S 2.79
S 0.7275 0.7275 0.2041  2 Tb 2.79, 1 Nd 2.86
Nd 0.0000 0.0000 0.0000  6 S 2.86
K 0.8340 0.1660 0.5000  6 S 3.20-3.25
S 0.4085 0.0681 0.2040  2 Tb 2.79, 1 Nd 2.86
S 0.0681 0.4085 0.2040  2 Tb 2.79, 1 Nd 2.86
S 0.2725 0.2725 0.7959  2 Tb 2.79, 1 Nd 2.86
S 0.5915 0.9319 0.7960  2 Tb 2.79, 1 Nd 2.86
K 0.1660 0.8340 0.5000  6 S 3.20-3.25
Tb 0.6668 0.3332 0.0000  6 S 2.79

(2)
This record from the Alexandria database describes a relaxed structure of BaMoPtN2. The functional is PBE-GGA.

abc: 4.0428 7.7942 4.0428
angles: 90.00 90.00 90.00
Closest atoms and distances in Å follow each position.
Positions (direct):
Ba 0.0000 0.5000 0.0000  4 Pt 2.86
Pt 0.5000 0.5000 0.5000  4 Ba 2.86
Mo 0.0000 0.0000 0.0000  4 N 2.02
N 0.0000 0.0000 0.5000  2 Mo 2.02
N 0.5000 0.0000 0.0000  2 Mo 2.02

Results for total DFT energy (no corrections): -64.6; -31.7 (in eV per cell, following the order of the records).
Results for energy relative to the elements, uncorrected: -1.87; 0.75 (in eV per atom, following the order of the records).
Results for ρ: 3.95; 5.95 (in g/cm3, following the order of the records).